(1)
! PBE-GGA Co2AgHg, relaxed; values from VASP
! Magnetic moment   3.3 μB per formula unit
! Energy of formation   474 meV/atom
! Uncorrected energy   -3.867 eV per atom
&SYSTEM
  ibrav = 0, nat = 4, ntyp = 3
/
ATOMIC_SPECIES
Hg 200.59 Hg.upf
Co 58.93 Co.upf
Ag 107.87 Ag.upf
CELL_PARAMETERS angstrom
4.806 -0.008 0.000
1.584 4.538 0.000
-3.195 -2.265 2.786
ATOMIC_POSITIONS crystal
Hg 0.500 0.500 0.000
Co 0.250 0.750 0.500
Ag 0.750 0.250 0.500
Co 0.000 0.000 0.000


(2)
! PBE-GGA CoAg2Hg, relaxed; values from VASP
! Magnetic moment   1.6 μB per formula unit
! Energy of formation   341 meV/atom
! Uncorrected energy   -2.937 eV per atom
&SYSTEM
  ibrav = 0, nat = 4, ntyp = 3
/
ATOMIC_SPECIES
Hg 200.59 Hg.upf
Ag 107.87 Ag.upf
Co 58.93 Co.upf
CELL_PARAMETERS angstrom
-8.703 0.449 3.486
-9.148 -1.575 1.394
-8.131 -2.387 4.037
ATOMIC_POSITIONS crystal
Hg 0.756 0.756 0.756
Ag 0.998 0.998 0.998
Ag 0.245 0.245 0.245
Co 0.502 0.502 0.502


(3)
! PBE-GGA Co2AgHg, relaxed; values from VASP
! Magnetic moment   3.4 μB per formula unit
! Energy of formation   274 meV/atom
! Uncorrected energy   -4.067 eV per atom
&SYSTEM
  ibrav = 0, nat = 4, ntyp = 3
/
ATOMIC_SPECIES
Co 58.93 Co.upf
Ag 107.87 Ag.upf
Hg 200.59 Hg.upf
CELL_PARAMETERS angstrom
-2.446 -1.546 0.207
1.566 -2.421 0.430
1.429 -1.235 7.644
ATOMIC_POSITIONS crystal
Co 0.000 0.960 0.040
Ag 0.500 0.715 0.785
Co 0.500 0.298 0.202
Hg 0.000 0.527 0.473


(4)
! PBE-GGA Co2AgHg, relaxed; values from VASP
! Magnetic moment   3.4 μB per formula unit
! Energy of formation   818 meV/atom
! Uncorrected energy   -3.523 eV per atom
&SYSTEM
  ibrav = 0, nat = 8, ntyp = 3
/
ATOMIC_SPECIES
Hg 200.59 Hg.upf
Ag 107.87 Ag.upf
Co 58.93 Co.upf
CELL_PARAMETERS angstrom
-3.986 5.698 1.682
1.437 -1.040 6.931
0.865 3.887 4.097
ATOMIC_POSITIONS crystal
Hg 0.000 0.000 0.000
Ag 0.500 0.500 0.000
Co 0.128 0.625 0.250
Hg 0.750 0.250 0.500
Co 0.622 0.125 0.250
Co 0.875 0.872 0.750
Ag 0.250 0.750 0.500
Co 0.375 0.378 0.750


(5)
! PBE-GGA Co2AgHg2, relaxed; values from VASP
! Magnetic moment   2.8 μB per formula unit
! Energy of formation   433 meV/atom
! Uncorrected energy   -3.100 eV per atom
&SYSTEM
  ibrav = 0, nat = 10, ntyp = 3
/
ATOMIC_SPECIES
Ag 107.87 Ag.upf
Co 58.93 Co.upf
Hg 200.59 Hg.upf
CELL_PARAMETERS angstrom
-3.255 6.029 -0.740
-3.610 -2.596 -5.265
-2.551 -1.096 2.290
ATOMIC_POSITIONS crystal
Ag 0.000 0.000 0.000
Co 0.116 0.384 0.000
Hg 0.179 0.679 0.500
Hg 0.679 0.821 0.500
Co 0.616 0.116 0.000
Hg 0.821 0.321 0.500
Hg 0.321 0.179 0.500
Co 0.384 0.884 0.000
Ag 0.500 0.500 0.000
Co 0.884 0.616 0.000


(6)
! PBE-GGA CoAg2Hg, relaxed; values from VASP
! Magnetic moment   1.5 μB per formula unit
! Energy of formation   534 meV/atom
! Uncorrected energy   -2.744 eV per atom
&SYSTEM
  ibrav = 0, nat = 8, ntyp = 3
/
ATOMIC_SPECIES
Ag 107.87 Ag.upf
Hg 200.59 Hg.upf
Co 58.93 Co.upf
CELL_PARAMETERS angstrom
-1.664 2.525 -2.430
-3.503 -1.277 1.072
-2.846 7.403 6.543
ATOMIC_POSITIONS crystal
Ag 0.132 0.625 0.250
Hg 0.000 0.000 0.000
Ag 0.618 0.125 0.250
Ag 0.875 0.868 0.750
Co 0.500 0.500 0.000
Ag 0.375 0.382 0.750
Co 0.250 0.750 0.500
Hg 0.750 0.250 0.500


(7)
! PBE-GGA CoAg2Hg, relaxed; values from VASP
! Magnetic moment   1.6 μB per formula unit
! Energy of formation   380 meV/atom
! Uncorrected energy   -2.898 eV per atom
&SYSTEM
  ibrav = 0, nat = 4, ntyp = 3
/
ATOMIC_SPECIES
Hg 200.59 Hg.upf
Ag 107.87 Ag.upf
Co 58.93 Co.upf
CELL_PARAMETERS angstrom
-3.893 1.148 3.808
-3.849 -3.865 1.107
5.357 1.508 -0.033
ATOMIC_POSITIONS crystal
Hg 0.267 0.767 0.500
Ag 0.733 0.233 0.500
Ag 0.999 0.999 0.000
Co 0.501 0.501 0.000


(8)
! PBE-GGA Co2AgHg, relaxed; values from VASP
! Magnetic moment   3.2 μB per formula unit
! Energy of formation   562 meV/atom
! Uncorrected energy   -3.779 eV per atom
&SYSTEM
  ibrav = 0, nat = 4, ntyp = 3
/
ATOMIC_SPECIES
Hg 200.59 Hg.upf
Co 58.93 Co.upf
Ag 107.87 Ag.upf
CELL_PARAMETERS angstrom
-4.359 -6.281 -4.982
-2.433 -5.468 -6.890
-1.778 -7.444 -4.971
ATOMIC_POSITIONS crystal
Hg 0.250 0.250 0.250
Co 0.499 0.499 0.499
Co 0.001 0.001 0.001
Ag 0.750 0.750 0.750